Density functional theory data (GGA-PBE) for crystalline CaNb2V at its relaxed geometry.

Cell and atoms, written as extended XYZ:
```
8
Lattice="-0.451 -2.680 -4.146 -3.099 -3.087 2.333 -8.670 2.147 -3.410" Properties=species:S:1:pos:R:3 pbc="T T T"
V -5.448 -1.708 -4.231
V 0.000 0.000 0.000
Nb -2.949 -2.194 -4.188
Nb -7.284 -1.121 -5.893
Nb -4.499 -3.738 -3.022
Nb -7.059 0.219 -3.820
Ca -1.775 -2.884 -0.907
Ca -6.772 -1.912 -0.992
```

The value obtained for the magnetic moment is 0.577 μB per formula unit. For the theoretical density, the calculation gives 4.21 g/cm³. The value obtained for the electronic total energy is -6.53 eV/atom.